(1)
Entry from Alexandria via LeMat-Bulk: Pr4HgAu after structural relaxation (PBE).

Lattice parameters (Å, degrees): 7.022 7.931 7.513 90.00 94.88 90.00
Atoms (fractional coordinates):
Pr: 0.332 0.337 0.341
Pr: 0.394 0.848 0.153
Pr: 0.894 0.652 0.153
Pr: 0.606 0.152 0.847
Pr: 0.668 0.663 0.659
Hg: 0.500 0.500 0.000
Hg: 0.000 0.000 0.000
Pr: 0.832 0.163 0.341
Au: 0.500 0.000 0.500
Pr: 0.106 0.348 0.847
Pr: 0.168 0.837 0.659
Au: 0.000 0.500 0.500

**Distance to the lowest polymorph of the same formula**: 138.2 meV per atom
**Density of states at the Fermi level**: 17.1 states/eV/cell

=====

(2)
Entry from Alexandria via LeMat-Bulk: AlZn4Ag4 after structural relaxation (PBE).

Lattice parameters (Å, degrees): 3.937 6.394 6.394 84.56 72.07 72.07
Atoms (fractional coordinates):
Zn: 0.000 0.659 0.341
Ag: 0.335 0.000 0.331
Zn: 0.341 0.659 0.659
Zn: 0.659 0.341 0.341
Ag: 0.665 0.000 0.669
Al: 0.000 0.000 0.000
Ag: 0.666 0.669 0.000
Ag: 0.334 0.331 0.000
Zn: 0.000 0.341 0.659

**Density of states at the Fermi level**: 1.4 states/eV/cell

=====

(3)
Entry from Alexandria via LeMat-Bulk: Pm4Nd6Pu after structural relaxation (PBE).

Lattice parameters (Å, degrees): 3.617 12.054 17.840 90.00 90.00 98.63
Site moments in Bohr magnetons follow the coordinates.
Atoms (fractional coordinates):
Pm: 0.381 0.763 0.141  -0.06
Pm: 0.381 0.763 0.359  -0.06
Nd: 0.500 0.000 0.500  -0.05
Nd: 0.989 0.978 0.662  0.01
Nd: 0.759 0.518 0.082  -0.02
Pm: 0.870 0.740 0.551  0.00
Pu: 0.377 0.753 0.750  5.62
Nd: 0.246 0.491 0.250  0.06
Nd: 0.241 0.482 0.918  -0.02
Pm: 0.130 0.260 0.449  0.00
Pm: 0.619 0.237 0.641  -0.06
Nd: 0.011 0.022 0.162  0.01
Nd: 0.011 0.022 0.338  0.01
Pm: 0.870 0.740 0.949  0.00
Nd: 0.500 0.000 0.000  -0.05
Nd: 0.989 0.978 0.838  0.01
Pm: 0.619 0.237 0.859  -0.06
Nd: 0.241 0.482 0.582  -0.02
Nd: 0.754 0.509 0.750  0.06
Nd: 0.759 0.518 0.418  -0.02
Pu: 0.623 0.247 0.250  5.62
Pm: 0.130 0.260 0.051  0.00

**Density of states at the Fermi level**: 41.6 states/eV/cell

=====

(4)
Entry from Alexandria via LeMat-Bulk: TmNbBiO6 after structural relaxation (PBE).

Lattice parameters (Å, degrees): 5.013 5.013 10.113 90.00 90.00 90.00
Atoms (fractional coordinates):
O: 0.684 0.684 0.012
Nb: 0.000 0.000 0.670
Bi: 0.500 0.500 0.504
O: 0.311 0.311 0.316
O: 0.184 0.816 0.512
Bi: 0.000 0.000 0.004
O: 0.189 0.811 0.816
O: 0.788 0.212 0.168
O: 0.816 0.184 0.512
O: 0.212 0.788 0.168
O: 0.288 0.288 0.668
Nb: 0.500 0.500 0.170
O: 0.811 0.189 0.816
Tm: 0.000 0.000 0.334
O: 0.712 0.712 0.668
O: 0.316 0.316 0.012
O: 0.689 0.689 0.316
Tm: 0.500 0.500 0.834

**Density of states at the Fermi level**: 5.3 states/eV/cell
**Formation energy without anion corrections**: -2.325 eV/atom

=====

(5)
Entry from Alexandria via LeMat-Bulk: LaCePr after structural relaxation (PBE).

Lattice parameters (Å, degrees): 4.766 4.766 4.766 75.67 75.67 75.67
Atoms (fractional coordinates):
La: 0.783 0.783 0.783
Ce: 0.105 0.105 0.105
Pr: 0.442 0.442 0.442

**Distance to the lowest polymorph of the same formula**: 309.2 meV per atom
**Density of states at the Fermi level**: 8.2 states/eV/cell

=====

(6)
Entry from Alexandria via LeMat-Bulk: CaZn2GePt after structural relaxation (PBE).

Lattice parameters (Å, degrees): 4.134 4.194 6.197 109.78 109.48 90.00
Atoms (fractional coordinates):
Ca: 0.441 0.441 0.882
Zn: 0.056 0.056 0.113
Ge: 0.828 0.828 0.655
Zn: 0.692 0.192 0.384
Pt: 0.195 0.695 0.390

**Density of states at the Fermi level**: 2.7 states/eV/cell

=====

(7)
Entry from Alexandria via LeMat-Bulk: Rb4Tc6S13 after structural relaxation (PBE).

Lattice parameters (Å, degrees): 9.795 9.795 14.221 85.48 85.48 119.37
Atoms (fractional coordinates):
S: 0.497 0.301 0.489
S: 0.950 0.919 0.951
S: 0.050 0.081 0.049
S: 0.699 0.503 0.011
S: 0.267 0.827 0.954
S: 0.007 0.310 0.852
S: 0.310 0.007 0.352
S: 0.980 0.645 0.817
S: 0.643 0.263 0.821
S: 0.081 0.050 0.549
Tc: 0.152 0.575 0.892
S: 0.020 0.355 0.183
S: 0.737 0.357 0.679
Rb: 0.767 0.704 0.659
Rb: 0.704 0.767 0.159
S: 0.355 0.020 0.683
S: 0.993 0.690 0.148
Rb: 0.093 0.379 0.620
Rb: 0.379 0.093 0.120
S: 0.647 0.353 0.250
S: 0.503 0.699 0.511
S: 0.263 0.643 0.321
S: 0.353 0.647 0.750
Tc: 0.983 0.681 0.981
S: 0.919 0.950 0.451
Rb: 0.907 0.621 0.380
Tc: 0.156 0.598 0.076
S: 0.733 0.173 0.046
Rb: 0.296 0.233 0.841
Rb: 0.233 0.296 0.341
S: 0.301 0.497 0.989
Tc: 0.848 0.425 0.108
Tc: 0.017 0.319 0.019
Tc: 0.681 0.983 0.481
Tc: 0.425 0.848 0.608
S: 0.827 0.267 0.454
Tc: 0.319 0.017 0.519
Tc: 0.598 0.156 0.576
S: 0.173 0.733 0.546
Tc: 0.402 0.844 0.424
S: 0.645 0.980 0.317
S: 0.357 0.737 0.179
Rb: 0.621 0.907 0.880
Tc: 0.575 0.152 0.392
Tc: 0.844 0.402 0.924
S: 0.690 0.993 0.648

**Formation energy without anion corrections**: -0.822 eV/atom

=====

(8)
Entry from Alexandria via LeMat-Bulk: PrSm2Ga6 after structural relaxation (PBE).

Lattice parameters (Å, degrees): 4.276 7.387 7.387 120.00 90.00 90.00
Atoms (fractional coordinates):
Ga: 0.500 0.666 0.000
Ga: 0.500 0.334 0.334
Ga: 0.500 0.334 0.000
Ga: 0.500 0.666 0.666
Ga: 0.500 0.000 0.334
Pr: 0.000 0.000 0.000
Sm: 0.000 0.667 0.333
Sm: 0.000 0.333 0.667
Ga: 0.500 0.000 0.666

**Distance to the lowest polymorph of the same formula**: 0.0 meV per atom
**Density of states at the Fermi level**: 5.7 states/eV/cell

=====

(9)
Entry from Alexandria via LeMat-Bulk: La2CeGa6 after structural relaxation (PBE).

Lattice parameters (Å, degrees): 4.379 7.466 7.466 120.00 90.00 90.00
Site moments in Bohr magnetons follow the coordinates.
Atoms (fractional coordinates):
Ga: 0.500 0.000 0.669  0.00
La: 0.000 0.667 0.333  0.00
Ga: 0.500 0.331 0.000  0.00
Ce: 0.000 0.000 0.000  0.70
Ga: 0.500 0.000 0.331  0.00
La: 0.000 0.333 0.667  0.00
Ga: 0.500 0.669 0.000  0.00
Ga: 0.500 0.331 0.331  0.00
Ga: 0.500 0.669 0.669  0.00

**Distance to the lowest polymorph of the same formula**: 0.0 meV per atom
**Density of states at the Fermi level**: 11.4 states/eV/cell

=====

(10)
Entry from Alexandria via LeMat-Bulk: Mg2IrW after structural relaxation (PBE).

Lattice parameters (Å, degrees): 2.820 4.402 5.300 90.00 90.00 90.00
Atoms (fractional coordinates):
Mg: 0.000 0.000 0.505
Ir: 0.500 0.500 0.750
Mg: 0.000 0.000 0.995
W: 0.500 0.500 0.250

**Density of states at the Fermi level**: 2.1 states/eV/cell

=====

(11)
Entry from Alexandria via LeMat-Bulk: Nd6Nb5S16 after structural relaxation (PBE).

Lattice parameters (Å, degrees): 5.772 8.903 22.934 90.00 90.00 108.91
Atoms (fractional coordinates):
Nd: 0.931 0.000 0.329
S: 0.786 0.667 0.299
S: 0.206 0.000 0.432
Nb: 0.077 0.398 0.500
Nb: 0.026 0.000 0.000
S: 0.497 0.599 0.069
S: 0.609 0.799 0.430
S: 0.119 0.333 0.299
Nd: 0.436 0.000 0.173
Nd: 0.794 0.665 0.827
Nb: 0.426 0.799 0.000
S: 0.442 0.000 0.299
Nd: 0.436 0.000 0.827
S: 0.288 0.667 0.799
Nd: 0.128 0.335 0.173
S: 0.412 0.405 0.431
S: 0.694 0.000 0.932
S: 0.096 0.805 0.930
S: 0.898 0.401 0.931
S: 0.810 0.201 0.430
Nd: 0.931 0.000 0.671
S: 0.119 0.333 0.701
S: 0.206 0.000 0.568
Nb: 0.275 0.799 0.500
S: 0.008 0.595 0.569
Nd: 0.290 0.668 0.326
Nb: 0.476 0.201 0.500
Nd: 0.622 0.332 0.674
Nd: 0.128 0.335 0.827
Nb: 0.870 0.000 0.500
Nb: 0.833 0.602 0.000
S: 0.412 0.405 0.569
S: 0.291 0.195 0.070
S: 0.008 0.595 0.431
S: 0.442 0.000 0.701
Nb: 0.679 0.602 0.500
Nb: 0.231 0.398 0.000
S: 0.497 0.599 0.931
S: 0.096 0.805 0.070
S: 0.694 0.000 0.068
S: 0.944 0.000 0.201
Nd: 0.622 0.332 0.326
Nb: 0.627 0.201 0.000
S: 0.810 0.201 0.570
Nd: 0.794 0.665 0.173
S: 0.621 0.333 0.799
Nd: 0.290 0.668 0.674
S: 0.609 0.799 0.570
S: 0.786 0.667 0.701
S: 0.898 0.401 0.069
S: 0.291 0.195 0.930
S: 0.288 0.667 0.201
S: 0.944 0.000 0.799
S: 0.621 0.333 0.201

**Density of states at the Fermi level**: 4.2 states/eV/cell
**Formation energy without anion corrections**: -1.699 eV/atom

=====

(12)
Entry from Alexandria via LeMat-Bulk: Hf2NpV after structural relaxation (PBE).

Lattice parameters (Å, degrees): 4.842 4.842 4.842 60.00 60.00 60.00
Site moments in Bohr magnetons follow the coordinates.
Atoms (fractional coordinates):
Hf: 0.750 0.750 0.750  0.16
Hf: 0.250 0.250 0.250  0.16
Np: 0.000 0.000 0.000  3.56
V: 0.500 0.500 0.500  -1.54

**Density of states at the Fermi level**: 9.2 states/eV/cell

=====

(13)
Entry from Alexandria via LeMat-Bulk: ZrPPd2Br after structural relaxation (PBE).

Lattice parameters (Å, degrees): 4.629 5.052 4.629 90.00 90.00 90.00
Atoms (fractional coordinates):
Pd: 0.000 0.000 0.500
Pd: 0.500 0.000 0.000
Zr: 0.500 0.500 0.500
Br: 0.000 0.000 0.000
P: 0.000 0.500 0.000

**Density of states at the Fermi level**: 5.1 states/eV/cell
**Formation energy without anion corrections**: 0.750 eV/atom

=====

(14)
Entry from Alexandria via LeMat-Bulk: GaRe2Os after structural relaxation (PBE).

Lattice parameters (Å, degrees): 5.908 5.908 6.570 63.28 63.28 90.00
Atoms (fractional coordinates):
Os: 0.000 0.000 0.000
Re: 0.375 0.362 0.750
Re: 0.638 0.125 0.250
Re: 0.112 0.625 0.250
Re: 0.875 0.888 0.750
Os: 0.750 0.250 0.500
Ga: 0.500 0.500 0.000
Ga: 0.250 0.750 0.500

**Density of states at the Fermi level**: 9.0 states/eV/cell

=====

(15)
Entry from Alexandria via LeMat-Bulk: SbTe2W after structural relaxation (PBE).

Lattice parameters (Å, degrees): 3.251 3.251 9.695 90.00 90.00 90.00
Atoms (fractional coordinates):
Te: 0.000 0.000 0.426
Sb: 0.500 0.500 0.750
Te: 0.000 0.000 0.074
W: 0.500 0.500 0.250

**Density of states at the Fermi level**: 3.8 states/eV/cell
**Formation energy without anion corrections**: 0.325 eV/atom

=====

(16)
Entry from Alexandria via LeMat-Bulk: LiP3 after structural relaxation (PBE).

Lattice parameters (Å, degrees): 4.309 4.309 3.233 90.00 90.00 106.73
Atoms (fractional coordinates):
Li: 0.000 0.000 0.000
P: 0.000 0.500 0.500
P: 0.500 0.500 0.000
P: 0.500 0.000 0.500

**Distance to the lowest polymorph of the same formula**: 216.9 meV per atom
**Density of states at the Fermi level**: 1.1 states/eV/cell

=====

(17)
Entry from Alexandria via LeMat-Bulk: NbCd2PI after structural relaxation (PBE).

Lattice parameters (Å, degrees): 5.581 5.581 5.341 90.00 90.00 90.00
Site moments in Bohr magnetons follow the coordinates.
Atoms (fractional coordinates):
Nb: 0.000 0.000 0.500  2.47
Cd: 0.000 0.500 0.000  -0.01
I: 0.000 0.000 0.000  -0.01
Cd: 0.500 0.000 0.000  -0.01
P: 0.500 0.500 0.500  -0.14

**Distance to the lowest polymorph of the same formula**: 1121.1 meV per atom
**Density of states at the Fermi level**: 4.9 states/eV/cell
**Formation energy without anion corrections**: 1.566 eV/atom

=====

(18)
Entry from Alexandria via LeMat-Bulk: Pm5PrHo after structural relaxation (PBE).

Lattice parameters (Å, degrees): 5.889 8.021 8.021 66.25 68.54 68.54
Atoms (fractional coordinates):
Pm: 0.000 0.676 0.324
Pm: 0.249 0.751 0.751
Pm: 0.500 0.000 0.000
Pm: 0.000 0.324 0.676
Pm: 0.751 0.249 0.249
Pr: 0.000 0.000 0.000
Ho: 0.500 0.500 0.500

**Distance to the lowest polymorph of the same formula**: 106.2 meV per atom
**Density of states at the Fermi level**: 12.2 states/eV/cell

=====

(19)
Entry from Alexandria via LeMat-Bulk: YIrPb after structural relaxation (PBE).

Lattice parameters (Å, degrees): 4.779 4.779 3.375 90.00 90.00 120.00
Atoms (fractional coordinates):
Ir: 0.000 0.000 0.167
Pb: 0.333 0.667 0.166
Y: 0.667 0.333 0.666

**Density of states at the Fermi level**: 1.4 states/eV/cell

=====

(20)
Entry from Alexandria via LeMat-Bulk: Sc2Cd4Ag after structural relaxation (PBE).

Lattice parameters (Å, degrees): 4.947 4.947 7.611 71.03 71.03 60.00
Atoms (fractional coordinates):
Sc: 0.285 0.285 0.144
Ag: 0.000 0.000 0.000
Cd: 0.426 0.426 0.722
Cd: 0.136 0.136 0.591
Cd: 0.864 0.864 0.409
Sc: 0.715 0.715 0.856
Cd: 0.574 0.574 0.278

**Density of states at the Fermi level**: 5.6 states/eV/cell

=====

(21)
Entry from Alexandria via LeMat-Bulk: YFeTe2 after structural relaxation (PBE).

Lattice parameters (Å, degrees): 6.923 6.923 3.978 89.99 89.99 33.39
Site moments in Bohr magnetons follow the coordinates.
Atoms (fractional coordinates):
Y: 0.445 0.445 0.625  -0.07
Fe: 0.247 0.247 0.125  2.95
Te: 0.767 0.767 0.625  0.06
Te: 0.042 0.042 0.125  0.03

**Density of states at the Fermi level**: 3.8 states/eV/cell
**Formation energy without anion corrections**: -0.584 eV/atom

=====

Summary of VASP energy in eV/atom
-4.0112 -2.2677 -5.4648 -7.6771 -4.8481 -3.5477 -6.0269 -4.2776 -4.4303 -6.0651 -7.0693 -10.1185 -4.4532 -8.2886 -5.5150 -4.3452 -2.2061 -3.7464 -6.7251 -2.8919 -5.8861
(order as listed above)